(P)
Entry from the Alexandria database: an optimized crystal structure of NaPrMg (GGA-PBE).

a = 3.3612 Å, b = 5.5925 Å, c = 5.5925 Å
α = 120.00°, β = 90.00°, γ = 90.00°
With the nearest neighbours (Å) after each atom.
Element x y z (fractional)
Pr1 0.3336 0.3333 0.6667  2 Pr 3.36, 6 Na 3.63-3.65, 6 Mg 3.64
Na1 0.8303 0.0000 0.0000  3 Mg 3.23, 2 Na 3.36
Mg1 0.8361 0.6667 0.3333  3 Na 3.23, 2 Mg 3.36

SG: P3m1
calculated volume: 30.347 Å³ per atom

(Q)
Entry from the Alexandria database: an optimized crystal structure of NaPrMg (GGA-PBE).

a = 3.4141 Å, b = 5.6009 Å, c = 9.9299 Å
α = 90.00°, β = 99.90°, γ = 90.00°
With the nearest neighbours (Å) after each atom.
Element x y z (fractional)
Mg1 0.4510 0.2500 0.9020  6 Pr 3.36-3.42, 4 Mg 3.39-3.41, 2 Na 3.65
Mg2 0.5490 0.7500 0.0980  6 Pr 3.36-3.42, 4 Mg 3.39-3.41, 2 Na 3.65
Pr1 0.9010 0.7500 0.8019  6 Mg 3.36-3.42, 2 Pr 3.41, 2 Na 3.59
Pr2 0.0990 0.2500 0.1981  6 Mg 3.36-3.42, 2 Pr 3.41, 2 Na 3.59
Na1 0.7862 0.2500 0.5724  6 Na 3.41-3.57, 2 Pr 3.59, 2 Mg 3.65
Na2 0.2138 0.7500 0.4276  6 Na 3.41-3.57, 2 Pr 3.59, 2 Mg 3.65

SG: Cmcm
calculated volume: 31.175 Å³ per atom

Stability summary: most stable (Q), least stable (P).

(P)
Entry from the Alexandria database: an optimized crystal structure of NaMgPt (GGA-PBE).

a = 3.0384 Å, b = 3.8324 Å, c = 10.5354 Å
α = 90.00°, β = 90.00°, γ = 90.00°
With the nearest neighbours (Å) after each atom.
Element x y z (fractional)
Na1 0.0000 0.5000 0.4376  1 Mg 2.98, 2 Na 3.04, 5 Pt 3.14-3.29
Na2 0.5000 0.0000 0.9376  1 Mg 2.98, 2 Na 3.04, 5 Pt 3.14-3.29
Mg1 0.0000 0.5000 0.1547  4 Pt 2.64
Mg2 0.5000 0.0000 0.6547  4 Pt 2.64
Pt1 0.0000 0.5000 0.7500  4 Mg 2.64
Pt2 0.5000 0.0000 0.2500  4 Mg 2.64

SG: Imm2
calculated volume: 20.446 Å³ per atom

(Q)
Entry from the Alexandria database: an optimized crystal structure of NaMgPt (GGA-PBE).

a = 8.6815 Å, b = 5.7347 Å, c = 10.2391 Å
α = 90.00°, β = 90.00°, γ = 90.00°
With the nearest neighbours (Å) after each atom.
Element x y z (fractional)
Na1 0.3221 0.0000 0.0000  4 Pt 3.00, 3 Na 3.09-3.13
Na2 0.6779 0.0000 0.0000  4 Pt 3.00, 3 Na 3.09-3.13
Na3 0.3221 0.5000 0.5000  4 Pt 3.00, 3 Na 3.09-3.13
Na4 0.6779 0.5000 0.5000  4 Pt 3.00, 3 Na 3.09-3.13
Na5 0.8221 0.0000 0.5000  4 Pt 3.00, 3 Na 3.09-3.13
Na6 0.1779 0.0000 0.5000  4 Pt 3.00, 3 Na 3.09-3.13
Na7 0.8221 0.5000 0.0000  4 Pt 3.00, 3 Na 3.09-3.13
Na8 0.1779 0.5000 0.0000  4 Pt 3.00, 3 Na 3.09-3.13
Mg1 0.0000 0.0000 0.8115  4 Pt 2.68
Mg2 0.0000 0.0000 0.1885  4 Pt 2.68
Mg3 0.0000 0.5000 0.3115  4 Pt 2.68
Mg4 0.0000 0.5000 0.6885  4 Pt 2.68
Mg5 0.5000 0.0000 0.3115  4 Pt 2.68
Mg6 0.5000 0.0000 0.6885  4 Pt 2.68
Mg7 0.5000 0.5000 0.8115  4 Pt 2.68
Mg8 0.5000 0.5000 0.1885  4 Pt 2.68
Pt1 0.2500 0.2500 0.2500  4 Mg 2.68, 2 Pt 2.87
Pt2 0.2500 0.7500 0.7500  4 Mg 2.68, 2 Pt 2.87
Pt3 0.7500 0.2500 0.7500  4 Mg 2.68, 2 Pt 2.87
Pt4 0.7500 0.7500 0.2500  4 Mg 2.68, 2 Pt 2.87
Pt5 0.7500 0.7500 0.7500  4 Mg 2.68, 2 Pt 2.87
Pt6 0.7500 0.2500 0.2500  4 Mg 2.68, 2 Pt 2.87
Pt7 0.2500 0.7500 0.2500  4 Mg 2.68, 2 Pt 2.87
Pt8 0.2500 0.2500 0.7500  4 Mg 2.68, 2 Pt 2.87

SG: Fmmm
calculated volume: 21.240 Å³ per atom

(R)
Entry from the Alexandria database: an optimized crystal structure of NaMgPt (GGA-PBE).

a = 4.4905 Å, b = 4.4561 Å, c = 9.4592 Å
α = 117.86°, β = 90.00°, γ = 120.26°
With the nearest neighbours (Å) after each atom.
Element x y z (fractional)
Mg1 0.7522 0.5043 0.8793  4 Pt 2.64-2.68
Mg2 0.2478 0.4957 0.1207  4 Pt 2.64-2.68
Pt1 0.9736 0.9472 0.2114  4 Mg 2.64-2.68, 3 Na 2.92-2.94
Pt2 0.0264 0.0528 0.7886  4 Mg 2.64-2.68, 3 Na 2.92-2.94
Na1 0.7565 0.5129 0.3869  4 Pt 2.92-3.20, 3 Na 3.14-3.16
Na2 0.2435 0.4871 0.6131  4 Pt 2.92-3.20, 3 Na 3.14-3.16

SG: C2/m
calculated volume: 22.917 Å³ per atom

(S)
Entry from the Alexandria database: an optimized crystal structure of NaMgPt (GGA-PBE).

a = 5.5858 Å, b = 4.7820 Å, c = 8.3109 Å
α = 90.00°, β = 89.72°, γ = 90.00°
With the nearest neighbours (Å) after each atom.
Element x y z (fractional)
Na1 0.5000 0.0000 0.5000  2 Na 2.79, 6 Mg 3.02-3.03
Na2 0.5000 0.5000 0.0000  2 Na 2.79, 6 Mg 3.02-3.03
Na3 0.0000 0.5000 0.0000  2 Na 2.79, 6 Pt 3.01-3.03
Na4 0.0000 0.0000 0.5000  2 Na 2.79, 6 Pt 3.01-3.03
Mg1 0.7187 0.0000 0.1663  5 Pt 2.78-2.80, 3 Na 3.02-3.03
Mg2 0.2813 0.0000 0.8337  5 Pt 2.78-2.80, 3 Na 3.02-3.03
Mg3 0.7187 0.5000 0.6663  5 Pt 2.78-2.80, 3 Na 3.02-3.03
Mg4 0.2813 0.5000 0.3337  5 Pt 2.78-2.80, 3 Na 3.02-3.03
Pt1 0.7817 0.0000 0.8323  5 Mg 2.78-2.80, 3 Na 3.01-3.03
Pt2 0.2183 0.0000 0.1677  5 Mg 2.78-2.80, 3 Na 3.01-3.03
Pt3 0.7817 0.5000 0.3323  5 Mg 2.78-2.80, 3 Na 3.01-3.03
Pt4 0.2183 0.5000 0.6677  5 Mg 2.78-2.80, 3 Na 3.01-3.03

SG: C2/m
calculated volume: 18.500 Å³ per atom

Stability summary: most stable (Q), least stable (R).

(P)
Entry from the Alexandria database: an optimized crystal structure of NaMgPt (GGA-PBE).

a = 4.7010 Å, b = 9.9561 Å, c = 4.6690 Å
α = 90.00°, β = 90.00°, γ = 90.00°
With the nearest neighbours (Å) after each atom.
Element x y z (fractional)
Na1 0.0000 0.5739 0.2500  2 Na 2.76, 4 Mg 2.86-2.99, 2 Pt 2.90
Na2 0.0000 0.4261 0.7500  2 Na 2.76, 4 Mg 2.86-2.99, 2 Pt 2.90
Na3 0.5000 0.0739 0.2500  2 Na 2.76, 4 Mg 2.86-2.99, 2 Pt 2.90
Na4 0.5000 0.9261 0.7500  2 Na 2.76, 4 Mg 2.86-2.99, 2 Pt 2.90
Mg1 0.0000 0.2378 0.2500  4 Pt 2.72-2.87, 4 Na 2.86-2.99
Mg2 0.0000 0.7622 0.7500  4 Pt 2.72-2.87, 4 Na 2.86-2.99
Mg3 0.5000 0.7378 0.2500  4 Pt 2.72-2.87, 4 Na 2.86-2.99
Mg4 0.5000 0.2622 0.7500  4 Pt 2.72-2.87, 4 Na 2.86-2.99
Pt1 0.0000 0.9028 0.2500  4 Mg 2.72-2.87, 2 Na 2.90, 2 Pt 3.03
Pt2 0.0000 0.0972 0.7500  4 Mg 2.72-2.87, 2 Na 2.90, 2 Pt 3.03
Pt3 0.5000 0.4028 0.2500  4 Mg 2.72-2.87, 2 Na 2.90, 2 Pt 3.03
Pt4 0.5000 0.5972 0.7500  4 Mg 2.72-2.87, 2 Na 2.90, 2 Pt 3.03

SG: Cmcm
calculated volume: 18.211 Å³ per atom

(Q)
Entry from the Alexandria database: an optimized crystal structure of NaMgPt (GGA-PBE).

a = 2.9746 Å, b = 4.3865 Å, c = 5.2512 Å
α = 90.00°, β = 90.00°, γ = 90.00°
With the nearest neighbours (Å) after each atom.
Element x y z (fractional)
Na1 0.0000 0.5000 0.0000  2 Na 2.97, 4 Pt 3.02
Mg1 0.0000 0.0000 0.5000  4 Pt 2.65
Pt1 0.5000 0.5000 0.5000  4 Mg 2.65

SG: Pmmm
calculated volume: 22.839 Å³ per atom

(R)
Entry from the Alexandria database: an optimized crystal structure of NaMgPt (GGA-PBE).

a = 4.7235 Å, b = 4.5282 Å, c = 10.7399 Å
α = 90.00°, β = 96.59°, γ = 90.00°
With the nearest neighbours (Å) after each atom.
Element x y z (fractional)
Na1 0.7486 0.0000 0.9316  2 Na 2.65-2.91, 2 Mg 2.96
Na2 0.2514 0.0000 0.0684  2 Na 2.65-2.91, 2 Mg 2.96
Na3 0.7486 0.5000 0.4316  2 Na 2.65-2.91, 2 Mg 2.96
Na4 0.2514 0.5000 0.5684  2 Na 2.65-2.91, 2 Mg 2.96
Mg1 0.7706 0.0000 0.2560  4 Pt 2.74-2.77, 3 Na 2.96-2.99
Mg2 0.2294 0.0000 0.7440  4 Pt 2.74-2.77, 3 Na 2.96-2.99
Mg3 0.7706 0.5000 0.7560  4 Pt 2.74-2.77, 3 Na 2.96-2.99
Mg4 0.2294 0.5000 0.2440  4 Pt 2.74-2.77, 3 Na 2.96-2.99
Pt1 0.6911 0.0000 0.6111  4 Mg 2.74-2.77, 1 Pt 2.82, 2 Na 3.01
Pt2 0.3089 0.0000 0.3889  4 Mg 2.74-2.77, 1 Pt 2.82, 2 Na 3.01
Pt3 0.6911 0.5000 0.1111  4 Mg 2.74-2.77, 1 Pt 2.82, 2 Na 3.01
Pt4 0.3089 0.5000 0.8889  4 Mg 2.74-2.77, 1 Pt 2.82, 2 Na 3.01

SG: C2/m
calculated volume: 19.016 Å³ per atom

Stability summary: most stable (Q), least stable (P).

(P)
Entry from the Alexandria database: an optimized crystal structure of NaSr2MgPt (GGA-PBE).

a = 5.9344 Å, b = 5.2219 Å, c = 5.9344 Å
α = 90.00°, β = 90.00°, γ = 90.00°
With the nearest neighbours (Å) after each atom.
Element x y z (fractional)
Sr1 0.0000 0.0000 0.5000  2 Pt 2.97
Sr2 0.5000 0.0000 0.0000  2 Pt 2.97
Mg1 0.0000 0.5000 0.0000  2 Pt 2.61
Pt1 0.0000 0.0000 0.0000  2 Mg 2.61
Na1 0.5000 0.5000 0.5000  8 Sr 3.95, 4 Mg 4.20

SG: P4/mmm
calculated volume: 36.781 Å³ per atom

(Q)
Entry from the Alexandria database: an optimized crystal structure of NaSr2MgPt (GGA-PBE).

a = 5.8516 Å, b = 5.8516 Å, c = 5.5382 Å
α = 90.00°, β = 90.00°, γ = 90.00°
With the nearest neighbours (Å) after each atom.
Element x y z (fractional)
Sr1 0.0000 0.5000 0.0000  2 Pt 2.93
Sr2 0.5000 0.0000 0.0000  2 Pt 2.93
Mg1 0.5000 0.5000 0.5000  8 Sr 4.03, 4 Na 4.14
Pt1 0.0000 0.0000 0.0000  2 Na 2.77, 4 Sr 2.93
Na1 0.0000 0.0000 0.5000  2 Pt 2.77

SG: P4/mmm
calculated volume: 37.927 Å³ per atom

Stability summary: most stable (P), least stable (Q).

(P)
Entry from the Alexandria database: an optimized crystal structure of RbNaMg2 (GGA-PBE).

a = 6.0439 Å, b = 6.0439 Å, c = 6.0439 Å
α = 60.00°, β = 60.00°, γ = 60.00°
With the nearest neighbours (Å) after each atom.
Element x y z (fractional)
Na1 0.0000 0.0000 0.0000  8 Mg 3.70
Mg1 0.2500 0.2500 0.2500  4 Rb 3.70, 4 Na 3.70
Mg2 0.7500 0.7500 0.7500  4 Na 3.70, 4 Rb 3.70
Rb1 0.5000 0.5000 0.5000  8 Mg 3.70

SG: Fm-3m
calculated volume: 39.028 Å³ per atom

(Q)
Entry from the Alexandria database: an optimized crystal structure of RbNaMg2 (GGA-PBE).

a = 5.8004 Å, b = 5.8004 Å, c = 12.5416 Å
α = 76.63°, β = 76.63°, γ = 90.00°
With the nearest neighbours (Å) after each atom.
Element x y z (fractional)
Na1 0.5000 0.5000 0.0000  4 Mg 3.30
Na2 0.2500 0.7500 0.5000  4 Mg 3.30
Mg1 0.3808 0.1250 0.2500  2 Mg 2.90
Mg2 0.3692 0.6250 0.2500  2 Mg 2.90
Mg3 0.3750 0.6192 0.7500  2 Mg 2.90
Mg4 0.8750 0.6308 0.7500  2 Mg 2.90
Rb1 0.0000 0.0000 0.0000  4 Na 4.10, 8 Mg 4.37-4.41
Rb2 0.7500 0.2500 0.5000  4 Na 4.10, 8 Mg 4.37-4.41

SG: I-42d
calculated volume: 49.844 Å³ per atom

Stability summary: most stable (P), least stable (Q).

(P)
Entry from the Alexandria database: an optimized crystal structure of RbNa2MgTl (GGA-PBE).

a = 6.1256 Å, b = 6.1256 Å, c = 5.5614 Å
α = 90.00°, β = 90.00°, γ = 90.00°
With the nearest neighbours (Å) after each atom.
Element x y z (fractional)
Na1 0.0000 0.5000 0.0000  2 Tl 3.06
Na2 0.5000 0.0000 0.0000  2 Tl 3.06
Tl1 0.0000 0.0000 0.0000  2 Mg 2.78, 4 Na 3.06
Mg1 0.0000 0.0000 0.5000  2 Tl 2.78
Rb1 0.5000 0.5000 0.5000  8 Na 4.14, 4 Mg 4.33

SG: P4/mmm
calculated volume: 41.736 Å³ per atom

(Q)
Entry from the Alexandria database: an optimized crystal structure of RbNa2MgTl (GGA-PBE).

a = 6.1657 Å, b = 6.1657 Å, c = 5.7085 Å
α = 90.00°, β = 90.00°, γ = 90.00°
With the nearest neighbours (Å) after each atom.
Element x y z (fractional)
Na1 0.0000 0.5000 0.0000  2 Mg 3.08
Na2 0.5000 0.0000 0.0000  2 Mg 3.08
Tl1 0.0000 0.0000 0.5000  2 Mg 2.85
Mg1 0.0000 0.0000 0.0000  2 Tl 2.85, 4 Na 3.08
Rb1 0.5000 0.5000 0.5000  8 Na 4.20, 4 Tl 4.36

SG: P4/mmm
calculated volume: 43.403 Å³ per atom

Stability summary: most stable (P), least stable (Q).

(P)
Entry from the Alexandria database: an optimized crystal structure of Na2MgRe (GGA-PBE).

a = 5.0132 Å, b = 5.0132 Å, c = 5.0132 Å
α = 60.00°, β = 60.00°, γ = 60.00°
With the nearest neighbours (Å) after each atom.
Element x y z (fractional)
Re1 0.5000 0.5000 0.5000  8 Na 3.07
Mg1 0.0000 0.0000 0.0000  8 Na 3.07
Na1 0.2500 0.2500 0.2500  4 Re 3.07, 4 Mg 3.07
Na2 0.7500 0.7500 0.7500  4 Re 3.07, 4 Mg 3.07

SG: Fm-3m
calculated volume: 22.272 Å³ per atom

(Q)
Entry from the Alexandria database: an optimized crystal structure of Na2MgRe (GGA-PBE).

a = 8.3181 Å, b = 8.3181 Å, c = 6.5195 Å
α = 50.36°, β = 50.36°, γ = 90.00°
With the nearest neighbours (Å) after each atom.
Element x y z (fractional)
Re1 0.0000 0.0000 0.0000  2 Mg 2.81, 4 Na 3.01
Re2 0.7500 0.2500 0.5000  2 Mg 2.81, 4 Na 3.01
Mg1 0.5000 0.5000 0.0000  2 Re 2.81, 4 Na 3.04
Mg2 0.2500 0.7500 0.5000  2 Re 2.81, 4 Na 3.04
Na1 0.6272 0.1250 0.2500  2 Na 2.81, 2 Re 3.01, 2 Mg 3.04
Na2 0.1228 0.6250 0.2500  2 Na 2.81, 2 Re 3.01, 2 Mg 3.04
Na3 0.3750 0.3728 0.7500  2 Na 2.81, 2 Re 3.01, 2 Mg 3.04
Na4 0.8750 0.8772 0.7500  2 Na 2.81, 2 Re 3.01, 2 Mg 3.04

SG: I-42d
calculated volume: 24.324 Å³ per atom

Stability summary: most stable (P), least stable (Q).

(P)
Entry from the Alexandria database: an optimized crystal structure of Na3MgRe (GGA-PBE).

a = 5.6511 Å, b = 5.6511 Å, c = 5.6511 Å
α = 90.00°, β = 90.00°, γ = 90.00°
With the nearest neighbours (Å) after each atom.
Element x y z (fractional)
Re1 0.5000 0.5000 0.5000  12 Na 4.00
Mg1 0.0000 0.0000 0.0000  6 Na 2.83
Na1 0.0000 0.5000 0.0000  2 Mg 2.83
Na2 0.0000 0.0000 0.5000  2 Mg 2.83
Na3 0.5000 0.0000 0.0000  2 Mg 2.83

SG: Pm-3m
calculated volume: 36.094 Å³ per atom

(Q)
Entry from the Alexandria database: an optimized crystal structure of Na3MgRe (GGA-PBE).

a = 5.8053 Å, b = 5.8053 Å, c = 5.8053 Å
α = 90.00°, β = 90.00°, γ = 90.00°
With the nearest neighbours (Å) after each atom.
Element x y z (fractional)
Re1 0.0000 0.0000 0.0000  6 Na 2.90
Mg1 0.5000 0.5000 0.5000  12 Na 4.10
Na1 0.0000 0.5000 0.0000  2 Re 2.90
Na2 0.0000 0.0000 0.5000  2 Re 2.90
Na3 0.5000 0.0000 0.0000  2 Re 2.90

SG: Pm-3m
calculated volume: 39.129 Å³ per atom

Stability summary: most stable (Q), least stable (P).